No. 1
Computed, not measured: a relaxed NaY3 crystal at the PBE-GGA level of DFT.

As for the total magnetization: 0.02 μB per cell. The density of states at the Fermi level comes out at 7.024 states/eV/f.u. As for the formation energy from the elements: 0.297 eV per atom. The calculation puts the total energy at -4.88 eV/atom. As for the space group: I4/mmm.

Cell lengths 6.4299, 6.4299, 6.4299 Å; angles 135.29, 135.29, 65.09 degrees
Positions (direct):
1 Na 0.0000 0.0000 0.0000
2 Y 0.2500 0.7500 0.5000
3 Y 0.5000 0.5000 0.0000
4 Y 0.7500 0.2500 0.5000

---

No. 2
Computed, not measured: a relaxed NaY crystal at the PBE-GGA level of DFT.

As for the total magnetization: 0.07 μB per cell. The density of states at the Fermi level comes out at 2.716 states/eV/f.u. As for the formation energy from the elements: 0.327 eV per atom. The calculation puts the total energy at -3.56 eV/atom. As for the space group: P6_3/m.

Cell lengths 12.0516, 12.0516, 3.3970 Å; angles 90.00, 90.00, 120.00 degrees
Positions (direct):
1 Na 0.0592 0.2842 0.2500
2 Na 0.2250 0.9408 0.2500
3 Na 0.2842 0.2250 0.7500
4 Na 0.7158 0.7750 0.2500
5 Na 0.7750 0.0592 0.7500
6 Na 0.9408 0.7158 0.7500
7 Y 0.1426 0.6034 0.2500
8 Y 0.3966 0.5392 0.2500
9 Y 0.4608 0.8574 0.2500
10 Y 0.5392 0.1426 0.7500
11 Y 0.6034 0.4608 0.7500
12 Y 0.8574 0.3966 0.7500

---

No. 3
Computed, not measured: a relaxed NaY crystal at the PBE-GGA level of DFT.

As for the total magnetization: 0.00 μB per cell. The density of states at the Fermi level comes out at 1.881 states/eV/f.u. As for the formation energy from the elements: 0.319 eV per atom. The calculation puts the total energy at -3.57 eV/atom. As for the space group: I4_1/amd.

Cell lengths 7.0200, 7.0200, 7.0200 Å; angles 110.64, 110.64, 107.16 degrees
Positions (direct):
1 Na 0.0000 0.0000 0.0000
2 Na 0.0000 0.0000 0.5000
3 Na 0.0000 0.5000 0.0000
4 Na 0.5000 0.0000 0.5000
5 Y 0.0000 0.5000 0.5000
6 Y 0.5000 0.0000 0.0000
7 Y 0.5000 0.5000 0.0000
8 Y 0.5000 0.5000 0.5000

---

No. 4
Computed, not measured: a relaxed NaY5 crystal at the PBE-GGA level of DFT.

As for the total magnetization: 0.00 μB per cell. The density of states at the Fermi level comes out at 10.462 states/eV/f.u. As for the formation energy from the elements: 0.161 eV per atom. The calculation puts the total energy at -5.45 eV/atom. As for the space group: Cmmm.

Cell lengths 9.3748, 9.3748, 3.7889 Å; angles 90.00, 90.00, 144.52 degrees
Positions (direct):
1 Na 0.0000 0.0000 0.0000
2 Y 0.1491 0.8509 0.5000
3 Y 0.3151 0.6849 0.0000
4 Y 0.5000 0.5000 0.5000
5 Y 0.6849 0.3151 0.0000
6 Y 0.8509 0.1491 0.5000

---

Q: Among the records above, which one has the highest formation energy from the elements?
A: number 2

---

Q: formation energy from the elements of number 4 (NaY5)?
A: 0.161 eV per atom

---

Q: The lowest formation energy from the elements belongs to which entry?
A: NaY5